Here is a relaxed structure of CaTmPb2 from Alexandria via LeMat-Bulk. Energies are from GGA-PBE.

Values from the calculation:
Energy relative to the elements, eV per formula unit: -1.813
Fermi-level density of states, states/eV/cell: 3.0
Size of the total moment, μB per formula unit: 0.0
V, A^3/atom: 28.7

CIF file:
```
data_CaTmPb2
_chemical_formula_sum 'Ca1 Tm1 Pb2'
_space_group_name_H-M_alt 'P 4/m m m'
_space_group_IT_number 123
_space_group_name_Hall '-P 4 2'
_cell_length_a 3.560
_cell_length_b 3.560
_cell_length_c 9.044
_cell_angle_alpha 90.00
_cell_angle_beta 90.00
_cell_angle_gamma 90.00
loop_
_atom_site_label
_atom_site_type_symbol
_atom_site_fract_x
_atom_site_fract_y
_atom_site_fract_z
_atom_site_occupancy
Ca1 Ca 0.000 0.000 0.000 1
Tm1 Tm 0.000 0.000 0.500 1
Pb1 Pb 0.500 0.500 0.258 1
```

---

Here is a relaxed structure of CaTm3Pb2 from Alexandria via LeMat-Bulk. Energies are from GGA-PBE.

Values from the calculation:
Energy relative to the elements, eV per formula unit: -1.601
Fermi-level density of states, states/eV/cell: 26.3
Size of the total moment, μB per formula unit: 0.9
V, A^3/atom: 30.7

CIF file:
```
data_CaTm3Pb2
_chemical_formula_sum 'Ca4 Tm12 Pb8'
_space_group_name_H-M_alt 'C 1 2/m 1'
_space_group_IT_number 12
_space_group_name_Hall '-C 2y'
_cell_length_a 18.068
_cell_length_b 4.679
_cell_length_c 9.439
_cell_angle_alpha 90.00
_cell_angle_beta 112.37
_cell_angle_gamma 90.00
loop_
_atom_site_label
_atom_site_type_symbol
_atom_site_fract_x
_atom_site_fract_y
_atom_site_fract_z
_atom_site_occupancy
Ca1 Ca 0.111 0.000 0.125 1
Tm1 Tm 0.058 0.000 0.688 1
Tm2 Tm 0.142 0.500 0.486 1
Tm3 Tm 0.194 0.500 0.886 1
Pb1 Pb 0.008 0.500 0.838 1
Pb2 Pb 0.244 0.000 0.711 1
```

---

Here is a relaxed structure of CaTmPb from Alexandria via LeMat-Bulk. Energies are from GGA-PBE.

Values from the calculation:
Energy relative to the elements, eV per formula unit: -1.222
Fermi-level density of states, states/eV/cell: 3.8
Size of the total moment, μB per formula unit: 0.9
V, A^3/atom: 32.0

CIF file:
```
data_CaTmPb
_chemical_formula_sum 'Ca2 Tm2 Pb2'
_space_group_name_H-M_alt 'P 4/n m m'
_space_group_IT_number 129
_cell_length_a 4.824
_cell_length_b 4.824
_cell_length_c 8.264
_cell_angle_alpha 90.00
_cell_angle_beta 90.00
_cell_angle_gamma 90.00
loop_
_space_group_symop_operation_xyz
'x,y,z'
'-x,-y,-z'
'-y+1/2,x,z'
'y+1/2,-x,-z'
'-x+1/2,-y+1/2,z'
'x+1/2,y+1/2,-z'
'y,-x+1/2,z'
'-y,x+1/2,-z'
'x+1/2,-y,-z'
'-x+1/2,y,z'
'-y,-x,-z'
'y,x,z'
'-x,y+1/2,-z'
'x,-y+1/2,z'
'y+1/2,x+1/2,-z'
'-y+1/2,-x+1/2,z'
loop_
_atom_site_label
_atom_site_type_symbol
_atom_site_fract_x
_atom_site_fract_y
_atom_site_fract_z
_atom_site_occupancy
Ca1 Ca 0.250 0.250 0.149 1
Tm1 Tm 0.250 0.750 0.500 1
Pb1 Pb 0.250 0.250 0.754 1
```

---

Here is a relaxed structure of CaTmPb from Alexandria via LeMat-Bulk. Energies are from GGA-PBE.

Values from the calculation:
Energy relative to the elements, eV per formula unit: -0.223
Fermi-level density of states, states/eV/cell: 5.0
Size of the total moment, μB per formula unit: 0.0
V, A^3/atom: 34.2

CIF file:
```
data_CaTmPb
_chemical_formula_sum 'Ca2 Tm2 Pb2'
_space_group_name_H-M_alt 'P 4/n m m'
_space_group_IT_number 129
_cell_length_a 5.167
_cell_length_b 5.167
_cell_length_c 7.698
_cell_angle_alpha 90.00
_cell_angle_beta 90.00
_cell_angle_gamma 90.00
loop_
_space_group_symop_operation_xyz
'x,y,z'
'-x,-y,-z'
'-y+1/2,x,z'
'y+1/2,-x,-z'
'-x+1/2,-y+1/2,z'
'x+1/2,y+1/2,-z'
'y,-x+1/2,z'
'-y,x+1/2,-z'
'x+1/2,-y,-z'
'-x+1/2,y,z'
'-y,-x,-z'
'y,x,z'
'-x,y+1/2,-z'
'x,-y+1/2,z'
'y+1/2,x+1/2,-z'
'-y+1/2,-x+1/2,z'
loop_
_atom_site_label
_atom_site_type_symbol
_atom_site_fract_x
_atom_site_fract_y
_atom_site_fract_z
_atom_site_occupancy
Ca1 Ca 0.250 0.250 0.197 1
Tm1 Tm 0.250 0.250 0.737 1
Pb1 Pb 0.250 0.750 0.500 1
```

---

Here is a relaxed structure of CaTm4Pb5 from Alexandria via LeMat-Bulk. Energies are from GGA-PBE.

Values from the calculation:
Energy relative to the elements, eV per formula unit: -2.392
E above lowest polymorph, eV/f.u.: 1.655
Fermi-level density of states, states/eV/cell: 17.6
Size of the total moment, μB per formula unit: 0.0
V, A^3/atom: 31.1

CIF file:
```
data_CaTm4Pb5
_chemical_formula_sum 'Ca2 Tm8 Pb10'
_space_group_name_H-M_alt 'I 4'
_space_group_IT_number 79
_space_group_name_Hall 'I 4'
_cell_length_a 10.053
_cell_length_b 10.053
_cell_length_c 6.162
_cell_angle_alpha 90.00
_cell_angle_beta 90.00
_cell_angle_gamma 90.00
loop_
_atom_site_label
_atom_site_type_symbol
_atom_site_fract_x
_atom_site_fract_y
_atom_site_fract_z
_atom_site_occupancy
Ca1 Ca 0.000 0.000 0.000 1
Tm1 Tm 0.131 0.734 0.503 1
Pb1 Pb 0.000 0.000 0.500 1
Pb2 Pb 0.075 0.655 0.003 1
```

---

Here is a relaxed structure of CaTm8Pb6 from Alexandria via LeMat-Bulk. Energies are from GGA-PBE.

Values from the calculation:
Energy relative to the elements, eV per formula unit: -4.677
Fermi-level density of states, states/eV/cell: 27.2
Size of the total moment, μB per formula unit: 0.0
V, A^3/atom: 31.0

CIF file:
```
data_CaTm8Pb6
_chemical_formula_sum 'Ca3 Tm24 Pb18'
_space_group_name_H-M_alt 'R -3'
_space_group_IT_number 148
_space_group_name_Hall '-R 3'
_cell_length_a 9.0865
_cell_length_b 9.0865
_cell_length_c 19.5119
_cell_angle_alpha 90.00
_cell_angle_beta 90.00
_cell_angle_gamma 120.00
loop_
_atom_site_label
_atom_site_type_symbol
_atom_site_fract_x
_atom_site_fract_y
_atom_site_fract_z
_atom_site_occupancy
Ca1 Ca 0.0000 0.0000 0.0000 1
Tm1 Tm 0.0000 0.0000 0.3333 1
Tm2 Tm 0.0000 0.3296 0.1038 1
Pb1 Pb 0.9998 0.3384 0.9297 1
```

---

> Which value of size of the total moment does entry 6 give?

0.0 μB per formula unit